#w
Mg2Be3Au8: relaxed, GGA-PBE.

The space group is Cmmm (No. 65) and the conventional cell measures 7.8363, 14.2890 and 4.0710 Å, with angles of 90.00, 90.00 and 90.00 degrees. The inequivalent atoms are Mg at (0.0000, 0.2482, 0.0000), Be at (0.0000, 0.0000, 0.0000), Be at (0.2479, 0.5000, 0.5000), Au at (0.0000, 0.1061, 0.5000), Au at (0.0000, 0.3906, 0.5000) and Au at (0.2447, 0.3955, 0.0000).

Its total magnetic moment is 0.00 μB/cell. The density of states at the Fermi level is 2.92 states/eV/f.u.

***

#x
Mg2Be3Au8: relaxed, GGA-PBE.

The space group is C2/m (No. 12) and the conventional cell measures 12.7048, 5.4358 and 7.6260 Å, with angles of 90.00, 124.05 and 90.00 degrees. The inequivalent atoms are Mg at (0.1240, 0.0000, 0.2468), Be at (0.0000, 0.2232, 0.5000), Be at (0.0000, 0.5000, 0.0000), Au at (0.1128, 0.2499, 0.9095), Au at (0.1215, 0.5000, 0.4369) and Au at (0.1969, 0.0000, 0.6697).

Its total magnetic moment is 0.00 μB/cell. The density of states at the Fermi level is 3.01 states/eV/f.u.

***

Last place for stability: #w

***

#w
BeMo2Au: relaxed, GGA-PBE.

The space group is P4/mmm (No. 123) and the conventional cell measures 3.2629, 3.2629 and 5.6075 Å, with angles of 90.00, 90.00 and 90.00 degrees. The inequivalent atoms are Be at (0.0000, 0.0000, 0.0000), Mo at (0.5000, 0.5000, 0.2039) and Au at (0.0000, 0.0000, 0.5000).

Its total magnetic moment is 0.00 μB/cell. The density of states at the Fermi level is 2.65 states/eV/f.u.

***

#x
BeMo2Au: relaxed, GGA-PBE.

The space group is I-42d (No. 122) and the conventional cell measures 3.6133, 3.6133 and 19.4719 Å, with angles of 90.00, 90.00 and 90.00 degrees. The inequivalent atoms are Be at (0.0000, 0.0000, 0.0000), Mo at (0.2324, 0.2500, 0.1250) and Au at (0.0000, 0.0000, 0.5000).

Its total magnetic moment is 0.00 μB/cell. The density of states at the Fermi level is 2.99 states/eV/f.u.

***

Last place for stability: #x

***

#w
BeMo2Au: relaxed, GGA-PBE.

The space group is P4/mmm (No. 123) and the conventional cell measures 2.7328, 2.7328 and 7.6709 Å, with angles of 90.00, 90.00 and 90.00 degrees. The inequivalent atoms are Be at (0.0000, 0.0000, 0.0000), Mo at (0.5000, 0.5000, 0.2085) and Au at (0.0000, 0.0000, 0.5000).

Its total magnetic moment is 0.00 μB/cell. The density of states at the Fermi level is 1.70 states/eV/f.u.

***

#x
BeMo2Au: relaxed, GGA-PBE.

The space group is P4/mmm (No. 123) and the conventional cell measures 4.4077, 4.4077 and 3.1171 Å, with angles of 90.00, 90.00 and 90.00 degrees. The inequivalent atoms are Be at (0.0000, 0.0000, 0.0000), Mo at (0.0000, 0.5000, 0.5000) and Au at (0.5000, 0.5000, 0.0000).

Its total magnetic moment is 0.00 μB/cell. The density of states at the Fermi level is 4.27 states/eV/f.u.

***

Last place for stability: #x